YWO2F | GGA+U | relaxed

Cell lengths 4.2235, 4.2235, 4.1797 Å; angles 90.00, 90.00, 90.00 degrees
Last column: nearest neighbours and their distance in Å.
Positions (direct):
Y  0.0000  0.0000  0.0000  8 O 2.97, 4 F 2.99
W  0.5000  0.5000  0.5000  2 F 2.09, 4 O 2.11
O  0.0000  0.5000  0.5000  2 W 2.11
O  0.5000  0.0000  0.5000  2 W 2.11
F  0.5000  0.5000  0.0000  2 W 2.09

* electronic total energy: -6.8661 eV/atom
* Fermi-level density of states: 2.00 states/eV/f.u.
* space-group type: P4/mmm (123)
* total moment: 0.7181 μB per atom